[1]
Here is crystalline OsPtAu2 at its relaxed geometry from the Alexandria database. Energies are from PBE.

Results
**Energy of formation from the pure elements**: 431 meV/atom
**Space-group type**: No. 65

Unit cell a=2.7913 b=2.7913 c=9.8956 alpha=90.00 beta=90.00 gamma=120.33
Last column: nearest neighbours and their distance in Å.
Fractional positions:
Os (0.0000, 0.0000, 0.0000)  6 Os 2.78-2.79, 4 Au 2.82
Pt (0.0000, 0.0000, 0.5000)  6 Pt 2.78-2.79, 4 Au 2.86
Au (0.5000, 0.5000, 0.2477)  6 Au 2.78-2.79, 2 Os 2.82, 2 Pt 2.86
Au (0.5000, 0.5000, 0.7523)  6 Au 2.78-2.79, 2 Os 2.82, 2 Pt 2.86

=====

[2]
Here is crystalline Os2PtAu at its relaxed geometry from the Alexandria database. Energies are from PBE.

Results
**Energy of formation from the pure elements**: 172 meV/atom
**Space-group type**: No. 160

Unit cell a=9.4928 b=9.4928 c=9.4928 alpha=16.83 beta=16.83 gamma=16.83
Last column: nearest neighbours and their distance in Å.
Fractional positions:
Os (0.0000, 0.0000, 0.0000)  9 Os 2.61-2.78
Os (0.2599, 0.2599, 0.2599)  9 Os 2.61-2.78, 3 Pt 2.83
Pt (0.5103, 0.5103, 0.5103)  6 Pt 2.78, 3 Os 2.83, 3 Au 2.96
Au (0.7550, 0.7550, 0.7550)  6 Au 2.78, 3 Os 2.95, 3 Pt 2.96

=====

[3]
Here is crystalline OsPt2Au at its relaxed geometry from the Alexandria database. Energies are from PBE.

Results
**Energy of formation from the pure elements**: 352 meV/atom
**Space-group type**: No. 119

Unit cell a=4.8418 b=4.8418 c=4.8418 alpha=131.10 beta=131.10 gamma=71.66
Last column: nearest neighbours and their distance in Å.
Fractional positions:
Os (0.0000, 0.0000, 0.0000)  8 Pt 2.81-2.83, 4 Au 2.81
Pt (0.2500, 0.7500, 0.5000)  4 Os 2.81, 4 Pt 2.81, 4 Au 2.83
Pt (0.5000, 0.5000, 0.0000)  4 Pt 2.81, 4 Au 2.81, 4 Os 2.83
Au (0.7500, 0.2500, 0.5000)  4 Os 2.81, 8 Pt 2.81-2.83

=====

[4]
Here is crystalline OsPt2Au at its relaxed geometry from the Alexandria database. Energies are from PBE.

Results
**Energy of formation from the pure elements**: 391 meV/atom
**Space-group type**: No. 99

Unit cell a=3.3599 b=3.3599 c=5.6816 alpha=90.00 beta=90.00 gamma=90.00
Last column: nearest neighbours and their distance in Å.
Fractional positions:
Os (0.0000, 0.0000, 0.0000)  6 Pt 2.69-2.97, 4 Au 2.81
Pt (0.0000, 0.0000, 0.4779)  2 Os 2.72-2.97, 4 Pt 2.79, 4 Au 2.79
Pt (0.5000, 0.5000, 0.2219)  4 Os 2.69, 2 Au 2.77-2.91, 4 Pt 2.79
Au (0.5000, 0.5000, 0.7345)  6 Pt 2.77-2.91, 4 Os 2.81

=====

[5]
Here is crystalline OsPtAu2 at its relaxed geometry from the Alexandria database. Energies are from PBE.

Results
**Energy of formation from the pure elements**: 529 meV/atom
**Space-group type**: No. 119

Unit cell a=4.8758 b=4.8758 c=4.8758 alpha=130.52 beta=130.52 gamma=72.58
Last column: nearest neighbours and their distance in Å.
Fractional positions:
Os (0.0000, 0.0000, 0.0000)  4 Pt 2.83, 8 Au 2.83-2.89
Pt (0.2500, 0.7500, 0.5000)  8 Au 2.83-2.89, 4 Os 2.83
Au (0.5000, 0.5000, 0.0000)  4 Pt 2.83, 4 Au 2.83, 4 Os 2.89
Au (0.7500, 0.2500, 0.5000)  4 Au 2.83, 4 Os 2.83, 4 Pt 2.89

=====

[6]
Here is crystalline OsPtAu2 at its relaxed geometry from the Alexandria database. Energies are from PBE.

Results
**Energy of formation from the pure elements**: 398 meV/atom
**Space-group type**: No. 12

Unit cell a=4.9781 b=4.9781 c=4.9757 alpha=98.86 beta=98.86 gamma=32.46
Last column: nearest neighbours and their distance in Å.
Fractional positions:
Os (0.0000, 0.0000, 0.0000)  2 Os 2.78, 6 Au 2.83-2.89, 4 Pt 2.85
Pt (0.5000, 0.5000, 0.5000)  2 Pt 2.78, 6 Au 2.84-2.91, 4 Os 2.85
Au (0.2545, 0.2545, 0.7540)  6 Au 2.78-2.87, 3 Os 2.83-2.89, 3 Pt 2.84-2.91
Au (0.7455, 0.7455, 0.2460)  6 Au 2.78-2.87, 3 Os 2.83-2.89, 3 Pt 2.84-2.91

=====

[7]
Here is crystalline Os2PtAu at its relaxed geometry from the Alexandria database. Energies are from PBE.

Results
**Energy of formation from the pure elements**: 573 meV/atom
**Space-group type**: No. 65

Unit cell a=4.8784 b=4.8784 c=2.7707 alpha=90.00 beta=90.00 gamma=110.88
Last column: nearest neighbours and their distance in Å.
Fractional positions:
Os (0.0000, 0.5000, 0.0000)  4 Os 2.77, 4 Pt 2.81, 4 Au 2.81
Os (0.5000, 0.0000, 0.0000)  4 Os 2.77, 4 Pt 2.81, 4 Au 2.81
Pt (0.0000, 0.0000, 0.5000)  2 Au 2.77, 2 Pt 2.77, 8 Os 2.81
Au (0.5000, 0.5000, 0.5000)  2 Pt 2.77, 2 Au 2.77, 8 Os 2.81

=====

[8]
Here is crystalline OsPt2Au at its relaxed geometry from the Alexandria database. Energies are from PBE.

Results
**Energy of formation from the pure elements**: 163 meV/atom
**Space-group type**: No. 160

Unit cell a=9.4440 b=9.4440 c=9.4440 alpha=17.04 beta=17.04 gamma=17.04
Last column: nearest neighbours and their distance in Å.
Fractional positions:
Os (0.0000, 0.0000, 0.0000)  3 Pt 2.70, 6 Os 2.80, 3 Au 2.87
Pt (0.4947, 0.4947, 0.4947)  9 Pt 2.80-2.85, 3 Au 2.92
Pt (0.7442, 0.7442, 0.7442)  3 Os 2.70, 9 Pt 2.80-2.85
Au (0.2485, 0.2485, 0.2485)  6 Au 2.80, 3 Os 2.87, 3 Pt 2.92

=====

[9]
Here is crystalline OsPtAu at its relaxed geometry from the Alexandria database. Energies are from PBE.

Results
**Energy of formation from the pure elements**: 479 meV/atom
**Space-group type**: No. 44

Unit cell a=4.9521 b=4.9521 c=4.9521 alpha=147.34 beta=132.80 gamma=58.58
Last column: nearest neighbours and their distance in Å.
Fractional positions:
Os (0.0000, 0.0000, 0.0000)  5 Pt 2.76-3.00, 2 Os 2.78, 5 Au 2.84
Pt (0.6522, 0.6522, 0.0000)  5 Os 2.76-3.00, 2 Pt 2.78, 5 Au 2.80-2.86
Au (0.3284, 0.3284, 0.0000)  2 Au 2.78, 5 Pt 2.80-2.86, 5 Os 2.84

=====

[10]
Here is crystalline Os2PtAu at its relaxed geometry from the Alexandria database. Energies are from PBE.

Results
**Energy of formation from the pure elements**: 176 meV/atom
**Space-group type**: No. 99

Unit cell a=2.8008 b=2.8008 c=7.9611 alpha=90.00 beta=90.00 gamma=90.00
Last column: nearest neighbours and their distance in Å.
Fractional positions:
Os (0.0000, 0.0000, 0.0000)  8 Os 2.59-2.80
Os (0.5000, 0.5000, 0.2105)  8 Os 2.59-2.80, 4 Pt 2.81
Pt (0.0000, 0.0000, 0.4602)  4 Pt 2.80, 4 Os 2.81, 4 Au 2.93
Au (0.5000, 0.5000, 0.7316)  4 Au 2.80, 4 Os 2.91, 4 Pt 2.93

=====

[11]
Here is crystalline OsPtAu2 at its relaxed geometry from the Alexandria database. Energies are from PBE.

Results
**Energy of formation from the pure elements**: 630 meV/atom
**Space-group type**: No. 225

Unit cell a=4.5495 b=4.5495 c=4.5495 alpha=60.00 beta=60.00 gamma=60.00
Last column: nearest neighbours and their distance in Å.
Fractional positions:
Os (0.0000, 0.0000, 0.0000)  8 Au 2.79
Pt (0.5000, 0.5000, 0.5000)  8 Au 2.79
Au (0.2500, 0.2500, 0.2500)  4 Os 2.79, 4 Pt 2.79
Au (0.7500, 0.7500, 0.7500)  4 Pt 2.79, 4 Os 2.79

=====

[12]
Here is crystalline OsPtAu2 at its relaxed geometry from the Alexandria database. Energies are from PBE.

Results
**Energy of formation from the pure elements**: 487 meV/atom
**Space-group type**: No. 123

Unit cell a=2.8069 b=2.8069 c=8.3108 alpha=90.00 beta=90.00 gamma=90.00
Last column: nearest neighbours and their distance in Å.
Fractional positions:
Os (0.0000, 0.0000, 0.0000)  4 Os 2.81, 8 Au 2.84
Pt (0.0000, 0.0000, 0.5000)  4 Pt 2.81, 8 Au 2.91
Au (0.5000, 0.5000, 0.2445)  4 Au 2.81, 4 Os 2.84, 4 Pt 2.91
Au (0.5000, 0.5000, 0.7555)  4 Au 2.81, 4 Os 2.84, 4 Pt 2.91

=====

[13]
Here is crystalline OsPt2Au at its relaxed geometry from the Alexandria database. Energies are from PBE.

Results
**Energy of formation from the pure elements**: 108 meV/atom
**Space-group type**: No. 123

Unit cell a=2.8102 b=2.8102 c=8.0576 alpha=90.00 beta=90.00 gamma=90.00
Last column: nearest neighbours and their distance in Å.
Fractional positions:
Os (0.0000, 0.0000, 0.0000)  8 Pt 2.71, 4 Os 2.81
Pt (0.5000, 0.5000, 0.2292)  4 Os 2.71, 4 Pt 2.81, 4 Au 2.95
Pt (0.5000, 0.5000, 0.7708)  4 Os 2.71, 4 Pt 2.81, 4 Au 2.95
Au (0.0000, 0.0000, 0.5000)  4 Au 2.81, 8 Pt 2.95

=====

[14]
Here is crystalline Os2PtAu at its relaxed geometry from the Alexandria database. Energies are from PBE.

Results
**Energy of formation from the pure elements**: 542 meV/atom
**Space-group type**: No. 71

Unit cell a=5.7688 b=5.7688 c=5.7688 alpha=152.45 beta=132.95 gamma=55.39
Last column: nearest neighbours and their distance in Å.
Fractional positions:
Os (0.2231, 0.2231, 0.0000)  2 Pt 2.66, 6 Os 2.74-2.75
Os (0.7769, 0.7769, 0.0000)  2 Pt 2.66, 6 Os 2.74-2.75
Pt (0.0000, 0.5000, 0.5000)  4 Os 2.66, 4 Au 2.68, 2 Pt 2.75
Au (0.5000, 0.0000, 0.5000)  4 Pt 2.68, 2 Au 2.75

=====

[15]
Here is crystalline OsPt2Au at its relaxed geometry from the Alexandria database. Energies are from PBE.

Results
**Energy of formation from the pure elements**: 491 meV/atom
**Space-group type**: No. 225

Unit cell a=4.5074 b=4.5074 c=4.5074 alpha=60.00 beta=60.00 gamma=60.00
Last column: nearest neighbours and their distance in Å.
Fractional positions:
Os (0.0000, 0.0000, 0.0000)  8 Pt 2.76
Pt (0.2500, 0.2500, 0.2500)  4 Au 2.76, 4 Os 2.76
Pt (0.7500, 0.7500, 0.7500)  4 Au 2.76, 4 Os 2.76
Au (0.5000, 0.5000, 0.5000)  8 Pt 2.76